Entry 1:
CoMo2W, optimized geometry, DFT PBE-GGA; total energy = -40.34 eV per cell
1.0
-7.374 1.409 -5.619
-8.639 -0.002 -3.647
-8.312 2.701 -3.399
Mo W Co
2 1 1
Cartesian
-0.167 0.028 -0.087
-6.082 1.027 -3.167
-11.999 2.026 -6.247
-18.240 3.080 -9.496



Entry 2:
ErTm2Bi, optimized geometry, DFT PBE-GGA; total energy = -18.53 eV per cell
1.0
4.820 0.000 0.000
0.000 4.820 0.000
0.000 0.000 4.820
Tm Er Bi
2 1 1
Cartesian
0.000 2.410 0.000
0.000 0.000 2.410
2.410 2.410 2.410
2.410 0.000 0.000



Entry 3:
BaHf4Se8, optimized geometry, DFT PBE-GGA; total energy = -86.05 eV per cell; uncorrected formation energy = -1586 kJ/mol of formula units
1.0
-7.495 0.266 -3.167
-5.980 -4.419 3.316
-6.010 3.687 4.069
Ba Hf Se
1 4 8
Cartesian
-14.614 -0.349 3.164
-10.349 1.792 3.714
-11.139 -0.030 -0.138
-7.150 -0.171 1.548
-10.332 -2.523 3.313
-11.751 -0.281 2.544
-9.286 1.541 1.176
-9.273 -1.802 0.866
-5.407 1.672 2.472
-8.661 -0.390 3.850
-5.392 -2.139 2.118
-6.105 0.063 -0.930
-2.581 -0.062 0.559



Entry 4:
Ca3La3Nd, optimized geometry, DFT PBE-GGA; total energy = -50.53 eV per cell
1.0
-4.372 2.634 3.227
2.285 -5.934 7.940
4.603 9.003 -1.112
Ca La Nd
6 6 2
Cartesian
0.489 1.770 2.043
4.957 4.678 5.722
2.027 3.933 8.011
-2.441 1.024 4.332
-0.250 -1.896 9.684
2.767 7.599 0.371
-0.212 6.868 2.581
1.994 7.012 5.453
-0.127 4.118 4.941
0.522 -1.309 4.601
2.728 -1.165 7.473
2.643 1.584 5.113
-0.221 1.020 7.342
2.737 4.682 2.712



no.,total magnetization (μB per cell)
1,0.85
2,0.11
3,0.00
4,0.00